Entry 1:
{
  "formula": "HfScAl2Cu",
  "functional": "SCAN",
  "state": "PBEsol geometry",
  "lattice_angstrom": [[4.8317, 0.0000, 0.0000], [0.0000, 4.8317, 0.0000], [0.0000, 0.0000, 4.3968]],
  "species": ["Hf", "Sc", "Al", "Al", "Cu"],
  "fractional_positions": [[0.0000, 0.0000, 0.0000], [0.5000, 0.5000, 0.5000], [0.0000, 0.5000, 0.5000], [0.5000, 0.0000, 0.5000], [0.5000, 0.5000, 0.0000]],
  "space_group": "P4/mmm",
  "total_energy_ha_per_atom": -0.7535,
  "total_magnetization_mub_per_atom": 0.00
}



Entry 2:
{
  "formula": "SrHfAl2Cu",
  "functional": "SCAN",
  "state": "PBEsol geometry",
  "lattice_angstrom": [[5.2634, 0.0000, 0.0000], [0.0000, 5.2634, 0.0000], [0.0000, 0.0000, 4.7695]],
  "species": ["Sr", "Hf", "Al", "Al", "Cu"],
  "fractional_positions": [[0.0000, 0.0000, 0.0000], [0.5000, 0.5000, 0.5000], [0.0000, 0.5000, 0.5000], [0.5000, 0.0000, 0.5000], [0.5000, 0.5000, 0.0000]],
  "space_group": "P4/mmm",
  "total_energy_ha_per_atom": -0.8336,
  "total_magnetization_mub_per_atom": 0.00
}



Entry 3:
{
  "formula": "Al2CuHg",
  "functional": "SCAN",
  "state": "PBEsol geometry",
  "lattice_angstrom": [[4.0401, 0.0000, 0.0000], [0.0000, 4.0401, 0.0000], [0.0000, 0.0000, 3.9357]],
  "species": ["Al", "Al", "Cu", "Hg"],
  "fractional_positions": [[0.0000, 0.5000, 0.0000], [0.5000, 0.0000, 0.0000], [0.0000, 0.0000, 0.5000], [0.5000, 0.5000, 0.5000]],
  "space_group": "P4/mmm",
  "total_energy_ha_per_atom": -0.9066,
  "total_magnetization_mub_per_atom": 0.00
}



Entry 4:
{
  "formula": "Al2CuHg",
  "functional": "SCAN",
  "state": "PBEsol geometry",
  "lattice_angstrom": [[-2.0264, 2.0264, 3.9235], [2.0264, -2.0264, 3.9235], [2.0264, 2.0264, -3.9235]],
  "species": ["Al", "Al", "Cu", "Hg"],
  "fractional_positions": [[0.2500, 0.7500, 0.5000], [0.7500, 0.2500, 0.5000], [0.0000, 0.0000, 0.0000], [0.5000, 0.5000, 0.0000]],
  "space_group": "I4/mmm",
  "total_energy_ha_per_atom": -0.9063,
  "total_magnetization_mub_per_atom": 0.00
}



Entry 5:
{
  "formula": "Al2CuHg",
  "functional": "SCAN",
  "state": "PBEsol geometry",
  "lattice_angstrom": [[-1.3801, 2.2552, 5.5648], [1.3801, -2.2552, 5.5648], [1.3801, 2.2552, -5.5648]],
  "species": ["Al", "Al", "Cu", "Hg"],
  "fractional_positions": [[0.1996, 0.1996, 0.0000], [0.8004, 0.8004, 0.0000], [0.0000, 0.5000, 0.5000], [0.5000, 0.0000, 0.5000]],
  "space_group": "Immm",
  "total_energy_ha_per_atom": -0.9042,
  "total_magnetization_mub_per_atom": 0.00
}



Entry 6:
{
  "formula": "HoAl8Cu4",
  "functional": "SCAN",
  "state": "PBEsol geometry",
  "lattice_angstrom": [[-4.3540, 4.3540, 2.5401], [4.3540, -4.3540, 2.5401], [4.3540, 4.3540, -2.5401]],
  "species": ["Ho", "Al", "Al", "Al", "Al", "Al", "Al", "Al", "Al", "Cu", "Cu", "Cu", "Cu"],
  "fractional_positions": [[0.0000, 0.0000, 0.0000], [0.0000, 0.3469, 0.3469], [0.0000, 0.6531, 0.6531], [0.2821, 0.5000, 0.7821], [0.3469, 0.0000, 0.3469], [0.5000, 0.2821, 0.7821], [0.5000, 0.7179, 0.2179], [0.6531, 0.0000, 0.6531], [0.7179, 0.5000, 0.2179], [0.0000, 0.0000, 0.5000], [0.0000, 0.5000, 0.0000], [0.5000, 0.0000, 0.0000], [0.5000, 0.5000, 0.5000]],
  "space_group": "I4/mmm",
  "total_energy_ha_per_atom": -0.4999,
  "total_magnetization_mub_per_atom": 0.00
}



Entry 7:
{
  "formula": "HoAlCu4",
  "functional": "SCAN",
  "state": "PBEsol geometry",
  "lattice_angstrom": [[5.0565, 0.0000, 0.0000], [-2.5282, 4.3791, 0.0000], [0.0000, 0.0000, 3.9942]],
  "species": ["Ho", "Al", "Cu", "Cu", "Cu", "Cu"],
  "fractional_positions": [[0.0000, 0.0000, 0.0000], [0.6667, 0.3333, 0.0000], [0.0020, 0.5010, 0.5000], [0.3333, 0.6667, 0.0000], [0.4990, 0.5010, 0.5000], [0.4990, 0.9980, 0.5000]],
  "space_group": "P-6m2",
  "total_energy_ha_per_atom": -0.7310,
  "total_magnetization_mub_per_atom": 0.00
}



Entry 8:
{
  "formula": "AlCuI2",
  "functional": "SCAN",
  "state": "PBEsol geometry",
  "lattice_angstrom": [[-3.8255, 3.8255, 3.9319], [3.8255, -3.8255, 3.9319], [3.8255, 3.8255, -3.9319]],
  "species": ["Al", "Al", "Cu", "Cu", "I", "I", "I", "I"],
  "fractional_positions": [[0.0000, 0.0000, 0.0000], [0.7500, 0.2500, 0.5000], [0.2500, 0.7500, 0.5000], [0.5000, 0.5000, 0.0000], [0.1876, 0.6250, 0.0626], [0.3750, 0.4376, 0.5626], [0.5624, 0.1250, 0.9374], [0.8750, 0.8124, 0.4374]],
  "space_group": "I-42d",
  "formation_energy_uncorrected_ev_per_fu": 0.44,
  "total_magnetization_mub_per_atom": 0.00
}